An optimized crystal structure of Li3VAs2O9. Source: Alexandria via LeMat-Bulk, functional PBE+U.

a b c (Å): 10.064 8.766 9.048
angles (deg): 90.00 90.00 90.00
Fractional positions:
Li1 0.153 0.123 0.000
Li2 0.163 0.650 0.726
Li3 0.180 0.396 0.157
Li4 0.320 0.896 0.657
Li5 0.337 0.150 0.226
Li6 0.347 0.623 0.500
Li7 0.653 0.377 0.000
Li8 0.663 0.850 0.726
Li9 0.680 0.104 0.157
Li10 0.820 0.604 0.657
Li11 0.837 0.350 0.226
Li12 0.847 0.877 0.500
V1 0.012 0.250 0.595
V2 0.488 0.750 0.095
V3 0.512 0.250 0.595
V4 0.988 0.750 0.095
As1 0.005 0.070 0.282
As2 0.019 0.566 0.411
As3 0.481 0.066 0.911
As4 0.495 0.570 0.782
As5 0.505 0.430 0.282
As6 0.519 0.934 0.411
As7 0.981 0.434 0.911
As8 0.995 0.930 0.782
O1 0.025 0.927 0.975
O2 0.034 0.874 0.257
O3 0.035 0.628 0.926
O4 0.049 0.575 0.218
O5 0.117 0.335 0.961
O6 0.137 0.870 0.703
O7 0.143 0.163 0.226
O8 0.159 0.589 0.509
O9 0.172 0.258 0.599
O10 0.328 0.758 0.099
O11 0.341 0.089 0.009
O12 0.357 0.663 0.726
O13 0.363 0.370 0.203
O14 0.383 0.835 0.461
O15 0.451 0.075 0.718
O16 0.465 0.128 0.426
O17 0.466 0.374 0.757
O18 0.475 0.427 0.475
O19 0.525 0.573 0.975
O20 0.534 0.626 0.257
O21 0.535 0.872 0.926
O22 0.549 0.925 0.218
O23 0.617 0.165 0.961
O24 0.637 0.630 0.703
O25 0.643 0.337 0.226
O26 0.659 0.911 0.509
O27 0.672 0.242 0.599
O28 0.828 0.742 0.099
O29 0.841 0.411 0.009
O30 0.857 0.837 0.726
O31 0.863 0.130 0.203
O32 0.883 0.665 0.461
O33 0.951 0.425 0.718
O34 0.965 0.372 0.426
O35 0.966 0.126 0.757
O36 0.975 0.073 0.475

E_tot   -6.14 eV/atom
SG   Pna2_1